(1)
DFT (GGA-PBE) results for a relaxed structure of LiTbGdOs. Values from VASP.

```
&SYSTEM
  ibrav = 0, nat = 4, ntyp = 4
/
ATOMIC_SPECIES
Li 6.94 Li.upf
Tb 158.93 Tb.upf
Gd 157.25 Gd.upf
Os 190.23 Os.upf
ATOMIC_POSITIONS crystal
Li 0.0000 0.0000 0.0000
Tb 0.2500 0.2500 0.2500
Gd 0.7500 0.7500 0.7500
Os 0.5000 0.5000 0.5000
CELL_PARAMETERS angstrom
0.0000 3.4840 3.4840
3.4840 0.0000 3.4840
3.4840 3.4840 0.0000
```

Properties
As for the magnetic moment: 7.17 μB per formula unit. The space group is F-43m, No. 216. Its energy relative to the elements is -0.200 eV per atom. The calculation puts the energy at -8.164 eV per atom.

(2)
DFT (GGA-PBE) results for a relaxed structure of Mn2CrPt. Values from VASP.

```
&SYSTEM
  ibrav = 0, nat = 4, ntyp = 3
/
ATOMIC_SPECIES
Mn 54.94 Mn.upf
Cr 52.00 Cr.upf
Pt 195.08 Pt.upf
ATOMIC_POSITIONS crystal
Mn 0.2500 0.2500 0.2500
Mn 0.7500 0.7500 0.7500
Cr 0.0000 0.0000 0.0000
Pt 0.5000 0.5000 0.5000
CELL_PARAMETERS angstrom
0.0000 2.9184 2.9184
2.9184 0.0000 2.9184
2.9184 2.9184 0.0000
```

Properties
As for the magnetic moment: 0.00 μB per formula unit. The space group is Fm-3m, No. 225. Its energy relative to the elements is 0.232 eV per atom. The calculation puts the energy at -8.269 eV per atom.

(3)
DFT (GGA-PBE) results for a relaxed structure of TaRu. Values from VASP.

```
&SYSTEM
  ibrav = 0, nat = 8, ntyp = 2
/
ATOMIC_SPECIES
Ta 180.95 Ta.upf
Ru 101.07 Ru.upf
ATOMIC_POSITIONS crystal
Ta 0.0000 0.0000 0.2640
Ta 0.0000 0.2640 0.0000
Ta 0.2640 0.0000 0.0000
Ta 0.7360 0.7360 0.7360
Ru 0.0000 0.0000 0.6573
Ru 0.0000 0.6573 0.0000
Ru 0.3427 0.3427 0.3427
Ru 0.6573 0.0000 0.0000
CELL_PARAMETERS angstrom
-4.0085 4.0085 4.0085
4.0085 -4.0085 4.0085
4.0085 4.0085 -4.0085
```

Properties
As for the magnetic moment: 0.00 μB per formula unit. The space group is I-43m, No. 217. Its energy relative to the elements is 1.390 eV per atom. The calculation puts the energy at -9.174 eV per atom.

(4)
DFT (GGA-PBE) results for a relaxed structure of AlFeB2C. Values from VASP.

```
&SYSTEM
  ibrav = 0, nat = 5, ntyp = 4
/
ATOMIC_SPECIES
Al 26.98 Al.upf
Fe 55.84 Fe.upf
B 10.81 B.upf
C 12.01 C.upf
ATOMIC_POSITIONS crystal
Al 0.0000 0.0000 0.0000
Fe 0.0000 0.0000 0.5000
B 0.0000 0.5000 0.0000
B 0.5000 0.0000 0.0000
C 0.5000 0.5000 0.5000
CELL_PARAMETERS angstrom
3.9023 0.0000 0.0000
0.0000 3.9023 0.0000
0.0000 0.0000 4.5650
```

Properties
As for the magnetic moment: 0.21 μB per formula unit. The space group is P4/mmm, No. 123. Its energy relative to the elements is 2.847 eV per atom. The calculation puts the energy at -4.110 eV per atom.

(5)
DFT (GGA-PBE) results for a relaxed structure of ErTmPa2N4. Values from VASP.

```
&SYSTEM
  ibrav = 0, nat = 8, ntyp = 4
/
ATOMIC_SPECIES
Er 167.26 Er.upf
Tm 168.93 Tm.upf
Pa 231.04 Pa.upf
N 14.01 N.upf
ATOMIC_POSITIONS crystal
Er 0.0000 0.0000 0.0000
Tm 0.5000 0.5000 0.0000
Pa 0.0000 0.5000 0.5000
Pa 0.5000 0.0000 0.5000
N 0.2511 0.0000 0.7499
N 0.2521 0.5000 0.2510
N 0.7479 0.5000 0.7490
N 0.7489 0.0000 0.2501
CELL_PARAMETERS angstrom
5.9726 0.0000 0.0000
0.0000 3.4451 0.0000
-1.9981 0.0000 5.6832
```

Properties
As for the magnetic moment: 0.00 μB per formula unit. The space group is P2/m, No. 10. The calculation puts the energy at -9.353 eV per atom. The uncorrected formation energy comes out at -1.687 eV per atom.

(6)
DFT (GGA-PBE) results for a relaxed structure of AlP2OF. Values from VASP.

```
&SYSTEM
  ibrav = 0, nat = 5, ntyp = 4
/
ATOMIC_SPECIES
Al 26.98 Al.upf
P 30.97 P.upf
O 16.00 O.upf
F 19.00 F.upf
ATOMIC_POSITIONS crystal
Al 0.0000 0.0000 0.0000
P 0.0000 0.5000 0.5000
P 0.5000 0.0000 0.5000
O 0.5000 0.5000 0.0000
F 0.5000 0.5000 0.5000
CELL_PARAMETERS angstrom
3.9472 0.0000 0.0000
0.0000 3.9472 0.0000
0.0000 0.0000 4.5537
```

Properties
As for the magnetic moment: 0.39 μB per formula unit. The calculation puts the relative energy among the computed polymorphs at 0.719 eV per atom. The space group is P4/mmm, No. 123. The calculation puts the energy at -3.713 eV per atom. The uncorrected formation energy comes out at 0.566 eV per atom.